{"formula": "Li2MnF5", "functional": "PBE with a Hubbard U", "state": "relaxed", "lattice": [[-3.875, -3.218, -2.628], [-2.857, -4.397, 2.187], [-6.882, 2.183, 1.990]], "species": ["Li", "Li", "Li", "Li", "Mn", "Mn", "F", "F", "F", "F", "F", "F", "F", "F", "F", "F"], "fractional_positions": [[0.373, 0.359, 0.240], [0.359, 0.373, 0.740], [0.627, 0.641, 0.760], [0.641, 0.627, 0.260], [0.000, 0.000, 0.500], [0.000, 0.000, 0.000], [0.788, 0.212, 0.750], [0.212, 0.788, 0.250], [0.228, 0.603, 0.954], [0.397, 0.772, 0.546], [0.772, 0.397, 0.046], [0.603, 0.228, 0.454], [0.673, 0.970, 0.148], [0.030, 0.327, 0.352], [0.327, 0.030, 0.852], [0.970, 0.673, 0.648]], "polymorph_energy_kj_per_mol_fu": 0, "magmom_total_mub_per_fu": 4.0, "space_group": "No. 15"}